Record 1
# SCAN SiSnIrPt2, PBEsol geometry
# Uncorrected formation energy, eV per atom: 1.214
data_SiSnIrPt2
_cell_length_a 4.855
_cell_length_b 4.855
_cell_length_c 4.885
_cell_angle_alpha 90.00
_cell_angle_beta 90.00
_cell_angle_gamma 90.00
_symmetry_space_group_name_H-M 'P 4/m m m'
_symmetry_Int_Tables_number 123
_symmetry_space_group_name_Hall '-P 4 2'
loop_
_atom_site_label
_atom_site_type_symbol
_atom_site_fract_x
_atom_site_fract_y
_atom_site_fract_z
Si1 Si 0.000 0.000 0.000
Sn1 Sn 0.500 0.500 0.000
Ir1 Ir 0.500 0.500 0.500
Pt1 Pt 0.000 0.500 0.500


Record 2
# SCAN Zn2PtAu, PBEsol geometry
# E, Ha/atom: -1.543
data_Zn2PtAu
_cell_length_a 9.457
_cell_length_b 2.843
_cell_length_c 4.515
_cell_angle_alpha 90.00
_cell_angle_beta 105.69
_cell_angle_gamma 90.00
_symmetry_space_group_name_H-M 'C 1 m 1'
_symmetry_Int_Tables_number 8
loop_
_symmetry_equiv_pos_as_xyz
'x,y,z'
'x,-y,z'
'x+1/2,y+1/2,z'
'x+1/2,-y+1/2,z'
loop_
_atom_site_label
_atom_site_type_symbol
_atom_site_fract_x
_atom_site_fract_y
_atom_site_fract_z
Zn1 Zn 0.000 0.000 0.000
Zn2 Zn 0.237 0.500 0.346
Pt1 Pt 0.257 0.000 0.861
Au1 Au 0.485 0.000 0.496


Record 3
# SCAN TcTeAu2, PBEsol geometry
# Uncorrected formation energy, eV per atom: 0.502
data_TcTeAu2
_cell_length_a 3.244
_cell_length_b 4.406
_cell_length_c 4.958
_cell_angle_alpha 90.00
_cell_angle_beta 90.00
_cell_angle_gamma 90.00
_symmetry_space_group_name_H-M 'P m m m'
_symmetry_Int_Tables_number 47
loop_
_symmetry_equiv_pos_as_xyz
'x,y,z'
'-x,-y,-z'
'-x,-y,z'
'x,y,-z'
'x,-y,-z'
'-x,y,z'
'-x,y,-z'
'x,-y,z'
loop_
_atom_site_label
_atom_site_type_symbol
_atom_site_fract_x
_atom_site_fract_y
_atom_site_fract_z
Tc1 Tc 0.000 0.000 0.000
Te1 Te 0.500 0.500 0.000
Au1 Au 0.000 0.500 0.500
Au2 Au 0.500 0.000 0.500


Record 4
# SCAN YMg2BeSe, PBEsol geometry
# Uncorrected formation energy, eV per atom: 0.122
data_YMg2BeSe
_cell_length_a 4.880
_cell_length_b 4.880
_cell_length_c 5.305
_cell_angle_alpha 90.00
_cell_angle_beta 90.00
_cell_angle_gamma 90.00
_symmetry_space_group_name_H-M 'P 4/m m m'
_symmetry_Int_Tables_number 123
_symmetry_space_group_name_Hall '-P 4 2'
loop_
_atom_site_label
_atom_site_type_symbol
_atom_site_fract_x
_atom_site_fract_y
_atom_site_fract_z
Y1 Y 0.000 0.000 0.000
Mg1 Mg 0.000 0.500 0.500
Be1 Be 0.500 0.500 0.000
Se1 Se 0.000 0.000 0.500


Record 5
# SCAN CdReAs2Br, PBEsol geometry
# Uncorrected formation energy, eV per atom: 1.695
data_CdReAs2Br
_cell_length_a 5.049
_cell_length_b 5.049
_cell_length_c 5.147
_cell_angle_alpha 90.00
_cell_angle_beta 90.00
_cell_angle_gamma 90.00
_symmetry_space_group_name_H-M 'P 4/m m m'
_symmetry_Int_Tables_number 123
_symmetry_space_group_name_Hall '-P 4 2'
loop_
_atom_site_label
_atom_site_type_symbol
_atom_site_fract_x
_atom_site_fract_y
_atom_site_fract_z
Cd1 Cd 0.000 0.000 0.000
Re1 Re 0.500 0.500 0.500
As1 As 0.000 0.500 0.000
Br1 Br 0.000 0.000 0.500


Record 6
# SCAN Fe3BiTe, PBEsol geometry
# Uncorrected formation energy, eV per atom: 1.073
data_Fe3BiTe
_cell_length_a 4.663
_cell_length_b 4.663
_cell_length_c 4.663
_cell_angle_alpha 90.00
_cell_angle_beta 90.00
_cell_angle_gamma 90.00
_symmetry_space_group_name_H-M 'P m -3 m'
_symmetry_Int_Tables_number 221
_symmetry_space_group_name_Hall '-P 4 2 3'
loop_
_atom_site_label
_atom_site_type_symbol
_atom_site_fract_x
_atom_site_fract_y
_atom_site_fract_z
Fe1 Fe 0.000 0.000 0.500
Bi1 Bi 0.500 0.500 0.500
Te1 Te 0.000 0.000 0.000


Record 7
# SCAN Be2Pt, PBEsol geometry
# Energy relative to the lowest polymorph listed for this composition, eV per atom: 0.0000
data_Be2Pt
_cell_length_a 4.285
_cell_length_b 7.266
_cell_length_c 7.914
_cell_angle_alpha 90.00
_cell_angle_beta 90.00
_cell_angle_gamma 90.00
_symmetry_space_group_name_H-M 'F d d d'
_symmetry_Int_Tables_number 70
loop_
_symmetry_equiv_pos_as_xyz
'x,y,z'
'-x,-y,-z'
'-x+1/4,-y+1/4,z'
'x+1/4,y+1/4,-z'
'x,-y+1/4,-z+1/4'
'-x,y+1/4,z+1/4'
'-x+1/4,y,-z+1/4'
'x+1/4,-y,z+1/4'
'x,y+1/2,z+1/2'
'-x,-y+1/2,-z+1/2'
'-x+1/4,-y+3/4,z+1/2'
'x+1/4,y+3/4,-z+1/2'
'x,-y+3/4,-z+3/4'
'-x,y+3/4,z+3/4'
'-x+1/4,y+1/2,-z+3/4'
'x+1/4,-y+1/2,z+3/4'
'x+1/2,y,z+1/2'
'-x+1/2,-y,-z+1/2'
'-x+3/4,-y+1/4,z+1/2'
'x+3/4,y+1/4,-z+1/2'
'x+1/2,-y+1/4,-z+3/4'
'-x+1/2,y+1/4,z+3/4'
'-x+3/4,y,-z+3/4'
'x+3/4,-y,z+3/4'
'x+1/2,y+1/2,z'
'-x+1/2,-y+1/2,-z'
'-x+3/4,-y+3/4,z'
'x+3/4,y+3/4,-z'
'x+1/2,-y+3/4,-z+1/4'
'-x+1/2,y+3/4,z+1/4'
'-x+3/4,y+1/2,-z+1/4'
'x+3/4,-y+1/2,z+1/4'
loop_
_atom_site_label
_atom_site_type_symbol
_atom_site_fract_x
_atom_site_fract_y
_atom_site_fract_z
Be1 Be 0.125 0.288 0.125
Pt1 Pt 0.125 0.125 0.625


Record 8
# SCAN ReIrW2, PBEsol geometry
# E, Ha/atom: -2.588
data_ReIrW2
_cell_length_a 3.880
_cell_length_b 3.880
_cell_length_c 7.972
_cell_angle_alpha 90.00
_cell_angle_beta 90.00
_cell_angle_gamma 90.00
_symmetry_space_group_name_H-M 'I -4 m 2'
_symmetry_Int_Tables_number 119
_symmetry_space_group_name_Hall 'I -4 -2'
loop_
_atom_site_label
_atom_site_type_symbol
_atom_site_fract_x
_atom_site_fract_y
_atom_site_fract_z
Re1 Re 0.000 0.000 0.000
Ir1 Ir 0.000 0.500 0.250
W1 W 0.000 0.000 0.500
W2 W 0.000 0.500 0.750


Record 9
# SCAN AlHSeN2, PBEsol geometry
# E, Ha/atom: -0.306
data_AlHSeN2
_cell_length_a 3.938
_cell_length_b 3.938
_cell_length_c 3.091
_cell_angle_alpha 90.00
_cell_angle_beta 90.00
_cell_angle_gamma 90.00
_symmetry_space_group_name_H-M 'P 4/m m m'
_symmetry_Int_Tables_number 123
_symmetry_space_group_name_Hall '-P 4 2'
loop_
_atom_site_label
_atom_site_type_symbol
_atom_site_fract_x
_atom_site_fract_y
_atom_site_fract_z
Al1 Al 0.000 0.000 0.000
H1 H 0.500 0.500 0.500
Se1 Se 0.500 0.500 0.000
N1 N 0.000 0.500 0.500


Record 10
# SCAN Ca6Si3H2O13, PBEsol geometry
# E, Ha/atom: -0.382
data_Ca6Si3H2O13
_cell_length_a 6.808
_cell_length_b 6.901
_cell_length_c 12.828
_cell_angle_alpha 91.13
_cell_angle_beta 97.51
_cell_angle_gamma 98.22
_symmetry_space_group_name_H-M 'P -1'
_symmetry_Int_Tables_number 2
loop_
_symmetry_equiv_pos_as_xyz
'x,y,z'
'-x,-y,-z'
loop_
_atom_site_label
_atom_site_type_symbol
_atom_site_fract_x
_atom_site_fract_y
_atom_site_fract_z
Ca1 Ca 0.070 0.035 0.325
Ca2 Ca 0.097 0.479 0.705
Ca3 Ca 0.181 0.814 0.125
Ca4 Ca 0.310 0.798 0.515
Ca5 Ca 0.390 0.479 0.290
Ca6 Ca 0.423 0.804 0.899
Si1 Si 0.112 0.289 0.099
Si2 Si 0.215 0.303 0.509
Si3 Si 0.312 0.282 0.884
H1 H 0.284 0.974 0.733
H2 H 0.439 0.893 0.321
O1 O 0.019 0.219 0.566
O2 O 0.113 0.812 0.947
O3 O 0.114 0.494 0.165
O4 O 0.119 0.179 0.802
O5 O 0.143 0.373 0.390
O6 O 0.244 0.155 0.179
O7 O 0.247 0.333 0.000
O8 O 0.263 0.841 0.701
O9 O 0.314 0.801 0.316
O10 O 0.336 0.490 0.584
O11 O 0.346 0.129 0.487
O12 O 0.387 0.489 0.831
O13 O 0.489 0.147 0.910


Record 11
# SCAN CrReIr2, PBEsol geometry
# Energy relative to the lowest polymorph listed for this composition, eV per atom: 0.0000
data_CrReIr2
_cell_length_a 2.694
_cell_length_b 4.269
_cell_length_c 4.699
_cell_angle_alpha 90.00
_cell_angle_beta 90.00
_cell_angle_gamma 90.00
_symmetry_space_group_name_H-M 'P m m 2'
_symmetry_Int_Tables_number 25
loop_
_symmetry_equiv_pos_as_xyz
'x,y,z'
'-x,-y,z'
'-x,y,z'
'x,-y,z'
loop_
_atom_site_label
_atom_site_type_symbol
_atom_site_fract_x
_atom_site_fract_y
_atom_site_fract_z
Cr1 Cr 0.000 0.000 0.000
Re1 Re 0.000 0.500 0.326
Ir1 Ir 0.500 0.000 0.495
Ir2 Ir 0.500 0.500 0.843


Record 12
# SCAN Cd2ReSb, PBEsol geometry
# Uncorrected formation energy, eV per atom: 0.651
data_Cd2ReSb
_cell_length_a 3.983
_cell_length_b 3.983
_cell_length_c 9.443
_cell_angle_alpha 90.00
_cell_angle_beta 90.00
_cell_angle_gamma 90.00
_symmetry_space_group_name_H-M 'I 4/m m m'
_symmetry_Int_Tables_number 139
_symmetry_space_group_name_Hall '-I 4 2'
loop_
_atom_site_label
_atom_site_type_symbol
_atom_site_fract_x
_atom_site_fract_y
_atom_site_fract_z
Cd1 Cd 0.000 0.500 0.250
Re1 Re 0.000 0.000 0.000
Sb1 Sb 0.000 0.000 0.500


Record 13
# SCAN BAsSCl2, PBEsol geometry
# Uncorrected formation energy, eV per atom: 0.798
data_BAsSCl2
_cell_length_a 4.829
_cell_length_b 4.829
_cell_length_c 4.847
_cell_angle_alpha 90.00
_cell_angle_beta 90.00
_cell_angle_gamma 90.00
_symmetry_space_group_name_H-M 'P 4/m m m'
_symmetry_Int_Tables_number 123
_symmetry_space_group_name_Hall '-P 4 2'
loop_
_atom_site_label
_atom_site_type_symbol
_atom_site_fract_x
_atom_site_fract_y
_atom_site_fract_z
B1 B 0.000 0.000 0.000
As1 As 0.500 0.500 0.500
S1 S 0.500 0.500 0.000
Cl1 Cl 0.000 0.500 0.500


Number 1: V 115 Å³/cell. Number 2: V 117 Å³/cell. Number 3: V 71 Å³/cell. Number 4: V 126 Å³/cell. Number 5: V 131 Å³/cell. Number 6: V 101 Å³/cell. Number 7: V 246 Å³/cell. Number 8: V 120 Å³/cell. Number 9: V 48 Å³/cell. Number 10: V 591 Å³/cell. Number 11: V 54 Å³/cell. Number 12: V 150 Å³/cell. Number 13: V 113 Å³/cell.